The following is a PBE calculation of a relaxed LaDy9Tm2 crystal, from Alexandria via LeMat-Bulk.

a = 3.5164 Å, b = 11.2383 Å, c = 11.2383 Å
α = 120.00°, β = 90.00°, γ = 90.00°
Positions (direct):
La 0.0000 0.0000 0.0000
Dy 0.0000 0.0000 0.5000
Dy 0.0000 0.5000 0.5000
Dy 0.0000 0.5000 0.0000
Dy 0.5000 0.3592 0.1796
Dy 0.5000 0.1796 0.8204
Dy 0.5000 0.1796 0.3592
Dy 0.5000 0.8204 0.6408
Dy 0.5000 0.8204 0.1796
Dy 0.5000 0.6408 0.8204
Tm 0.0000 0.3333 0.6667
Tm 0.0000 0.6667 0.3333

## Properties
**E above lowest polymorph**: 0.003 eV per atom
**Symmetry**: No. 191
**Energy relative to the elements**: 0.031 eV per atom